A plane-wave DFT calculation with PBEsol was carried out for a relaxed structure of K2SiBr.

## Properties
* energy above the most stable polymorph in this dataset: 25 kJ/mol of formula units
* energy relative to the elements, uncorrected: -140 meV per atom

Lattice parameters (Å, degrees): 7.696 7.696 7.696 74.55 68.48 111.52
Fractional coordinates of all 8 atoms:
1 Br 0.500 0.250 0.250
2 K 0.024 0.125 0.351
3 Si 0.500 0.750 0.750
4 K 0.524 0.899 0.125
5 Si 0.000 0.500 0.500
6 K 0.976 0.625 0.899
7 Br 0.000 0.000 0.000
8 K 0.476 0.351 0.625